Record 1
! Nd3PdCl3 | Alexandria via LeMat-Bulk | GGA-PBE | relaxed; values from VASP
! Formation energy without anion corrections   -146 kJ per mole of atoms
! SG   I4_132, No. 214
! Total magnetization   0.000 μB per atom
! DOS(E_F)   4.1 states/eV/f.u.
! Electronic total energy   -5.086 eV per atom
&SYSTEM
  ibrav = 0, nat = 28, ntyp = 3
/
ATOMIC_SPECIES
Nd 144.24 Nd.upf
Pd 106.42 Pd.upf
Cl 35.45 Cl.upf
ATOMIC_POSITIONS angstrom
Nd 7.125 4.113 -2.564
Nd 4.835 0.148 0.855
Nd 2.375 0.074 4.153
Nd 5.959 6.281 -5.862
Nd 8.419 2.020 0.734
Nd 7.296 0.074 -2.443
Nd 4.835 4.039 0.855
Nd 3.712 6.281 -2.685
Nd 3.755 2.168 -2.564
Nd 1.252 2.020 0.976
Nd 5.916 2.168 4.274
Nd 2.546 4.113 4.274
Pd 4.835 4.188 -4.274
Pd 3.627 2.094 2.564
Pd 6.044 2.094 -0.855
Pd 0.000 0.000 2.564
Cl -2.422 8.367 5.970
Cl 3.622 6.290 2.551
Cl 1.195 6.273 5.984
Cl -1.199 2.094 9.389
Cl -1.195 6.273 -0.855
Cl 2.404 4.196 -0.855
Cl 1.199 2.094 5.997
Cl 0.000 4.204 2.564
Cl 2.422 8.367 -0.842
Cl -2.404 4.196 5.984
Cl -3.622 6.290 2.578
Cl 0.000 8.359 2.564
CELL_PARAMETERS angstrom
9.671 0.000 -3.419
-4.835 8.375 -3.419
0.000 0.000 10.258

Record 2
! Nd6Pd2Cl | Alexandria via LeMat-Bulk | GGA-PBE | relaxed; values from VASP
! Formation energy without anion corrections   -65 kJ per mole of atoms
! SG   P2_1/c, No. 14
! Total magnetization   0.000 μB per atom
! DOS(E_F)   9.4 states/eV/f.u.
! Electronic total energy   -5.211 eV per atom
&SYSTEM
  ibrav = 0, nat = 18, ntyp = 3
/
ATOMIC_SPECIES
Nd 144.24 Nd.upf
Pd 106.42 Pd.upf
Cl 35.45 Cl.upf
ATOMIC_POSITIONS angstrom
Nd 0.424 0.775 2.651
Nd 2.771 0.277 5.950
Nd 4.596 2.107 8.663
Nd 2.963 -3.002 7.782
Nd 4.911 -1.507 10.612
Nd 0.780 -2.608 4.615
Nd 1.626 -3.472 11.545
Nd -0.722 -2.974 8.246
Nd -2.547 -4.803 5.533
Nd -0.913 0.306 6.414
Nd -2.862 -1.189 3.584
Nd 1.269 -0.089 9.581
Pd 4.939 -0.713 7.720
Pd 1.691 2.331 7.850
Pd 0.358 -5.028 6.346
Pd -2.889 -1.984 6.476
Cl -1.476 -3.648 3.146
Cl 2.501 2.300 3.952
CELL_PARAMETERS angstrom
-5.419 -0.621 3.968
2.467 -6.676 2.325
5.001 4.600 7.903

Record 3
! NdPdCl6 | Alexandria via LeMat-Bulk | GGA-PBE | relaxed; values from VASP
! Formation energy without anion corrections   -117 kJ per mole of atoms
! SG   P-1, No. 2
! Total magnetization   0.125 μB per atom
! DOS(E_F)   1.1 states/eV/f.u.
! Electronic total energy   -3.843 eV per atom
&SYSTEM
  ibrav = 0, nat = 8, ntyp = 3
/
ATOMIC_SPECIES
Nd 144.24 Nd.upf
Pd 106.42 Pd.upf
Cl 35.45 Cl.upf
ATOMIC_POSITIONS angstrom
Nd 6.442 3.895 2.817
Pd 0.000 0.000 0.000
Cl 4.225 3.691 4.363
Cl 7.618 1.925 4.445
Cl 5.321 1.815 1.305
Cl 5.267 5.864 1.189
Cl 8.660 4.098 1.271
Cl 7.563 5.975 4.329
CELL_PARAMETERS angstrom
6.373 0.186 -0.052
3.337 5.784 -0.176
3.175 1.819 5.862

Record 4
! Nd2PdCl2 | Alexandria via LeMat-Bulk | GGA-PBE | relaxed; values from VASP
! Formation energy without anion corrections   -142 kJ per mole of atoms
! SG   R-3m, No. 166
! Total magnetization   0.000 μB per atom
! DOS(E_F)   2.0 states/eV/f.u.
! Electronic total energy   -5.161 eV per atom
&SYSTEM
  ibrav = 0, nat = 5, ntyp = 3
/
ATOMIC_SPECIES
Nd 144.24 Nd.upf
Pd 106.42 Pd.upf
Cl 35.45 Cl.upf
ATOMIC_POSITIONS angstrom
Nd 3.525 2.109 2.917
Nd 1.953 1.169 9.662
Pd 0.000 0.000 0.000
Cl 1.173 0.702 3.989
Cl 4.306 2.576 8.590
CELL_PARAMETERS angstrom
3.988 0.000 0.929
1.886 3.514 0.929
-0.396 -0.237 10.720

Record 5
! Nd6PdRh2Cl3 | Alexandria via LeMat-Bulk | GGA-PBE | relaxed; values from VASP
! Formation energy without anion corrections   -111 kJ per mole of atoms
! SG   C2/m, No. 12
! Total magnetization   0.000 μB per atom
! DOS(E_F)   6.0 states/eV/f.u.
! Electronic total energy   -5.656 eV per atom
&SYSTEM
  ibrav = 0, nat = 12, ntyp = 4
/
ATOMIC_SPECIES
Nd 144.24 Nd.upf
Pd 106.42 Pd.upf
Rh 102.91 Rh.upf
Cl 35.45 Cl.upf
ATOMIC_POSITIONS angstrom
Nd 5.748 0.146 4.468
Nd 2.510 -3.301 2.691
Nd 2.350 -1.436 -0.915
Nd 6.996 -1.800 0.917
Nd 5.588 2.011 0.862
Nd 1.102 0.510 2.636
Pd 0.000 0.000 0.000
Rh 1.415 -3.867 0.158
Rh 0.201 -1.975 3.611
Cl 5.248 -2.514 -1.635
Cl 2.850 1.224 5.188
Cl 4.049 -0.645 1.776
CELL_PARAMETERS angstrom
-1.014 -0.081 7.068
2.629 -5.762 -3.300
6.483 4.553 -0.217

Record 6
! Nd6PdRu2Cl3 | Alexandria via LeMat-Bulk | GGA-PBE | relaxed; values from VASP
! Formation energy without anion corrections   -96 kJ per mole of atoms
! SG   C2/m, No. 12
! Total magnetization   0.000 μB per atom
! DOS(E_F)   3.6 states/eV/f.u.
! Electronic total energy   -5.819 eV per atom
&SYSTEM
  ibrav = 0, nat = 12, ntyp = 4
/
ATOMIC_SPECIES
Nd 144.24 Nd.upf
Pd 106.42 Pd.upf
Ru 101.07 Ru.upf
Cl 35.45 Cl.upf
ATOMIC_POSITIONS angstrom
Nd 3.587 1.951 6.065
Nd 2.300 3.983 1.587
Nd -1.230 2.129 1.588
Nd -0.103 4.082 6.065
Nd 0.056 0.098 6.066
Nd 2.459 -0.002 1.588
Pd 0.000 0.000 0.000
Ru 0.002 4.076 0.003
Ru 3.530 2.039 0.003
Cl -2.296 4.047 3.827
Cl 4.653 0.034 3.827
Cl 1.178 2.040 3.827
CELL_PARAMETERS angstrom
7.067 -0.004 0.003
-3.535 6.119 0.003
-1.175 -2.034 7.648

Record 7
! Nd4PdS2Cl | Alexandria via LeMat-Bulk | GGA-PBE | relaxed; values from VASP
! Formation energy without anion corrections   -149 kJ per mole of atoms
! SG   P2/m, No. 10
! Total magnetization   0.000 μB per atom
! DOS(E_F)   4.2 states/eV/f.u.
! Electronic total energy   -5.841 eV per atom
&SYSTEM
  ibrav = 0, nat = 8, ntyp = 4
/
ATOMIC_SPECIES
Nd 144.24 Nd.upf
Pd 106.42 Pd.upf
S 32.06 S.upf
Cl 35.45 Cl.upf
ATOMIC_POSITIONS angstrom
Nd -3.950 -6.410 4.688
Nd -3.848 -2.702 -1.497
Nd -2.535 -6.146 0.770
Nd -5.263 -2.966 2.421
Pd -1.286 -3.888 -0.760
S -5.225 -1.337 4.711
S -3.894 -0.984 0.845
Cl -2.618 -4.241 3.106
CELL_PARAMETERS angstrom
-2.562 -0.631 -3.021
-0.011 -7.145 1.501
-5.225 -1.337 4.711

Record 8
! Nd4PdSe2Cl | Alexandria via LeMat-Bulk | GGA-PBE | relaxed; values from VASP
! Formation energy without anion corrections   -141 kJ per mole of atoms
! SG   P2/m, No. 10
! Total magnetization   0.000 μB per atom
! DOS(E_F)   4.5 states/eV/f.u.
! Electronic total energy   -5.591 eV per atom
&SYSTEM
  ibrav = 0, nat = 8, ntyp = 4
/
ATOMIC_SPECIES
Nd 144.24 Nd.upf
Pd 106.42 Pd.upf
Se 78.96 Se.upf
Cl 35.45 Cl.upf
ATOMIC_POSITIONS angstrom
Nd 2.050 1.226 1.837
Nd 2.050 3.560 5.308
Nd 0.000 -0.007 5.343
Nd 0.000 4.792 1.802
Pd 2.050 3.662 0.075
Se 2.050 -1.269 3.497
Se 0.000 2.393 3.572
Cl 0.000 0.000 0.000
CELL_PARAMETERS angstrom
4.100 0.000 0.000
0.000 7.324 0.150
0.000 -2.539 6.994